A geometry-optimized CsYBr4 structure, computed with GGA-PBE.

Lattice parameters (Å, degrees): 9.100 9.100 7.456 96.11 96.11 51.19
Fractional coordinates of all 12 atoms:
Cs 0.205 0.205 0.249
Cs 0.795 0.795 0.751
Y 0.466 0.466 0.717
Y 0.534 0.534 0.283
Br 0.181 0.618 0.420
Br 0.255 0.745 0.000
Br 0.308 0.308 0.811
Br 0.382 0.819 0.580
Br 0.618 0.181 0.420
Br 0.692 0.692 0.189
Br 0.745 0.255 0.000
Br 0.819 0.382 0.580

Properties
total magnetic moment = 0.00 μB per atom
offset from the most stable computed form = 0.040 eV per atom
ΔE_f (raw) = -1.8142 eV per atom

=====

A geometry-optimized Cs3YBr6 structure, computed with GGA-PBE.

Lattice parameters (Å, degrees): 8.788 8.788 8.788 60.00 60.00 60.00
Fractional coordinates of all 10 atoms:
Cs 0.000 0.000 0.000
Cs 0.250 0.250 0.250
Cs 0.750 0.750 0.750
Y 0.500 0.500 0.500
Br 0.275 0.275 0.725
Br 0.275 0.725 0.275
Br 0.275 0.725 0.725
Br 0.725 0.275 0.275
Br 0.725 0.275 0.725
Br 0.725 0.725 0.275

Properties
total magnetic moment = 0.00 μB per atom
offset from the most stable computed form = 0.044 eV per atom
ΔE_f (raw) = -1.8323 eV per atom

=====

A geometry-optimized CsYBr2 structure, computed with GGA-PBE.

Lattice parameters (Å, degrees): 5.716 5.716 5.716 60.00 60.00 60.00
Fractional coordinates of all 4 atoms:
Cs 0.000 0.000 0.000
Y 0.500 0.500 0.500
Br 0.250 0.250 0.250
Br 0.750 0.750 0.750

Properties
total magnetic moment = 0.49 μB per atom
ΔE_f (raw) = -0.7895 eV per atom

=====

A geometry-optimized CsY2Br structure, computed with GGA-PBE.

Lattice parameters (Å, degrees): 5.728 5.728 5.728 60.00 60.00 60.00
Fractional coordinates of all 4 atoms:
Cs 0.000 0.000 0.000
Y 0.250 0.250 0.250
Y 0.750 0.750 0.750
Br 0.500 0.500 0.500

Properties
total magnetic moment = 0.00 μB per atom
ΔE_f (raw) = 0.4886 eV per atom

=====

A geometry-optimized CsYZnBr6 structure, computed with GGA-PBE.

Lattice parameters (Å, degrees): 7.137 7.137 8.182 90.00 90.00 120.00
Fractional coordinates of all 9 atoms:
Cs 0.000 0.000 0.000
Y 0.333 0.667 0.500
Zn 0.667 0.333 0.500
Br 0.383 0.016 0.693
Br 0.383 0.368 0.307
Br 0.632 0.016 0.307
Br 0.632 0.617 0.693
Br 0.984 0.368 0.693
Br 0.984 0.617 0.307

Properties
total magnetic moment = 0.00 μB per atom
ΔE_f (raw) = -1.5127 eV per atom

=====

A geometry-optimized CsYZrBr2 structure, computed with GGA-PBE.

Lattice parameters (Å, degrees): 6.153 6.153 6.193 90.00 90.00 90.00
Fractional coordinates of all 5 atoms:
Cs 0.000 0.000 0.000
Y 0.500 0.500 0.500
Zr 0.000 0.000 0.500
Br 0.000 0.500 0.000
Br 0.500 0.000 0.000

Properties
total magnetic moment = 0.72 μB per atom
ΔE_f (raw) = 0.7777 eV per atom

=====

A geometry-optimized Cs2ZnBr structure, computed with GGA-PBE.

Lattice parameters (Å, degrees): 4.489 4.489 9.181 90.00 90.00 90.00
Fractional coordinates of all 4 atoms:
Cs 0.000 0.000 0.230
Cs 0.000 0.000 0.770
Zn 0.500 0.500 0.500
Br 0.500 0.500 0.000

Properties
total magnetic moment = 0.00 μB per atom
offset from the most stable computed form = 0.000 eV per atom
ΔE_f (raw) = -0.7132 eV per atom

=====

A geometry-optimized Cs2Zn2Br5 structure, computed with GGA-PBE.

Lattice parameters (Å, degrees): 7.891 7.891 8.597 104.97 104.97 41.67
Fractional coordinates of all 9 atoms:
Cs 0.094 0.094 0.313
Cs 0.906 0.906 0.687
Zn 0.344 0.344 0.101
Zn 0.656 0.656 0.899
Br 0.163 0.163 0.934
Br 0.354 0.354 0.397
Br 0.500 0.500 0.000
Br 0.646 0.646 0.603
Br 0.837 0.837 0.066

Properties
total magnetic moment = 0.00 μB per atom
ΔE_f (raw) = -1.1175 eV per atom

=====

A geometry-optimized Cs2ZnBr4 structure, computed with GGA-PBE.

Lattice parameters (Å, degrees): 9.573 9.573 9.573 146.53 146.53 48.06
Fractional coordinates of all 7 atoms:
Cs 0.140 0.140 0.000
Cs 0.860 0.860 0.000
Zn 0.500 0.500 0.000
Br 0.000 0.500 0.500
Br 0.353 0.353 0.000
Br 0.500 0.000 0.500
Br 0.647 0.647 0.000

Properties
total magnetic moment = 0.00 μB per atom
ΔE_f (raw) = -1.3702 eV per atom

=====

A geometry-optimized Cs2ZnBr2 structure, computed with GGA-PBE.

Lattice parameters (Å, degrees): 8.627 8.627 8.627 132.73 132.73 69.08
Fractional coordinates of all 5 atoms:
Cs 0.197 0.197 0.000
Cs 0.803 0.803 0.000
Zn 0.500 0.500 0.000
Br 0.250 0.750 0.500
Br 0.750 0.250 0.500

Properties
total magnetic moment = 0.00 μB per atom
offset from the most stable computed form = 0.058 eV per atom
ΔE_f (raw) = -1.1064 eV per atom

=====

A geometry-optimized CsZn2Br structure, computed with GGA-PBE.

Lattice parameters (Å, degrees): 7.771 7.771 7.771 101.33 101.33 127.39
Fractional coordinates of all 8 atoms:
Cs 0.000 0.000 0.000
Cs 0.750 0.250 0.500
Zn 0.165 0.625 0.040
Zn 0.375 0.415 0.540
Zn 0.585 0.125 0.960
Zn 0.875 0.835 0.460
Br 0.250 0.750 0.500
Br 0.500 0.500 0.000

Properties
total magnetic moment = 0.00 μB per atom
offset from the most stable computed form = 0.000 eV per atom
ΔE_f (raw) = -0.2905 eV per atom

=====

A geometry-optimized Cs3ZnBr6 structure, computed with GGA-PBE.

Lattice parameters (Å, degrees): 12.720 12.720 6.115 90.00 90.00 105.09
Fractional coordinates of all 20 atoms:
Cs 0.114 0.886 0.500
Cs 0.192 0.443 0.465
Cs 0.443 0.192 0.965
Cs 0.557 0.808 0.465
Cs 0.808 0.557 0.965
Cs 0.886 0.114 0.000
Zn 0.289 0.711 0.930
Zn 0.711 0.289 0.430
Br 0.098 0.634 0.822
Br 0.165 0.167 0.730
Br 0.167 0.165 0.230
Br 0.280 0.720 0.325
Br 0.366 0.902 0.822
Br 0.407 0.593 0.844
Br 0.593 0.407 0.344
Br 0.634 0.098 0.322
Br 0.720 0.280 0.825
Br 0.833 0.835 0.730
Br 0.835 0.833 0.230
Br 0.902 0.366 0.322

Properties
total magnetic moment = 0.00 μB per atom
offset from the most stable computed form = 0.000 eV per atom
ΔE_f (raw) = -1.3504 eV per atom

=====

no.,theoretical density (g/cm³)
1,3.76
2,3.35
3,4.80
4,4.88
5,3.53
6,3.35
7,3.69
8,3.87
9,4.07
10,2.40
11,3.41
12,3.28